# Cs2Mo3P3O17 | Alexandria | SCAN | PBEsol geometry
# - raw formation energy (eV per atom) = -2.358
# - uncorrected energy (eV/atom) = -15.054
# - crystal system = monoclinic
# - V (Å³/cell) = 1533
data_Cs2Mo3P3O17
_chemical_formula_sum 'Cs8 Mo12 P12 O68'
_symmetry_space_group_name_H-M 'P 1 21/c 1'
_symmetry_Int_Tables_number 14
_symmetry_space_group_name_Hall '-P 2ybc'
_cell_length_a 10.853
_cell_length_b 9.592
_cell_length_c 15.815
_cell_angle_alpha 90.00
_cell_angle_beta 111.37
_cell_angle_gamma 90.00
loop_
_atom_site_label
_atom_site_fract_x
_atom_site_fract_y
_atom_site_fract_z
Cs1 0.094 0.125 0.208
Cs2 0.313 0.119 0.991
Mo1 0.079 0.747 0.094
Mo2 0.251 0.619 0.936
Mo3 0.453 0.117 0.757
P1 0.167 0.094 0.570
P2 0.337 0.679 0.296
P3 0.458 0.100 0.379
O1 0.039 0.240 0.858
O2 0.059 0.207 0.528
O3 0.102 0.584 0.570
O4 0.103 0.610 0.849
O5 0.106 0.533 0.097
O6 0.210 0.711 0.018
O7 0.230 0.740 0.211
O8 0.231 0.057 0.498
O9 0.269 0.168 0.651
O10 0.306 0.716 0.381
O11 0.336 0.010 0.371
O12 0.339 0.519 0.296
O13 0.395 0.235 0.324
O14 0.407 0.572 0.659
O15 0.458 0.526 0.167
O16 0.458 0.638 0.024
O17 0.472 0.740 0.305

---

# CsMo2P3O13 | Alexandria | SCAN | PBEsol geometry
# - raw formation energy (eV per atom) = -2.356
# - uncorrected energy (eV/atom) = -13.923
# - crystal system = monoclinic
# - V (Å³/cell) = 578
data_CsMo2P3O13
_chemical_formula_sum 'Cs2 Mo4 P6 O26'
_symmetry_space_group_name_H-M 'P 1 2/c 1'
_symmetry_Int_Tables_number 13
_symmetry_space_group_name_Hall '-P 2yc'
_cell_length_a 7.702
_cell_length_b 8.475
_cell_length_c 8.997
_cell_angle_alpha 90.00
_cell_angle_beta 99.95
_cell_angle_gamma 90.00
loop_
_atom_site_label
_atom_site_fract_x
_atom_site_fract_y
_atom_site_fract_z
Cs1 0.000 0.169 0.250
Mo1 0.287 0.235 0.935
P1 0.352 0.440 0.638
P2 0.500 0.045 0.250
O1 0.083 0.163 0.921
O2 0.239 0.438 0.042
O3 0.241 0.355 0.738
O4 0.374 0.150 0.141
O5 0.383 0.053 0.836
O6 0.449 0.328 0.549
O7 0.500 0.462 0.250

---

# CsSi2Mo3P6O25 | Alexandria | SCAN | PBEsol geometry
# - raw formation energy (eV per atom) = -2.454
# - uncorrected energy (eV/atom) = -12.743
# - crystal system = trigonal
# - V (Å³/cell) = 1063
data_CsSi2Mo3P6O25
_chemical_formula_sum 'Cs2 Si4 Mo6 P12 O50'
_symmetry_space_group_name_H-M 'P -3 1 c'
_symmetry_Int_Tables_number 163
_symmetry_space_group_name_Hall '-P 3 2c'
_cell_length_a 8.3399
_cell_length_b 8.3399
_cell_length_c 17.6522
_cell_angle_alpha 90.00
_cell_angle_beta 90.00
_cell_angle_gamma 120.00
loop_
_atom_site_label
_atom_site_fract_x
_atom_site_fract_y
_atom_site_fract_z
Cs1 0.3333 0.6667 0.2500
Si1 0.0000 0.0000 0.0904
Mo1 0.3333 0.6667 0.0220
Mo2 0.3333 0.6667 0.7500
P1 0.0507 0.3815 0.6093
O1 0.0000 0.0000 0.0000
O2 0.0282 0.1947 0.1233
O3 0.1145 0.5211 0.0921
O4 0.1336 0.4718 0.6852
O5 0.1911 0.4401 0.5447

---

# Cs3PrMo3O12 | Alexandria | SCAN | PBEsol geometry
# - raw formation energy (eV per atom) = -2.512
# - uncorrected energy (eV/atom) = -20.206
# - crystal system = orthorhombic
# - V (Å³/cell) = 1510
data_Cs3PrMo3O12
_chemical_formula_sum 'Cs12 Pr4 Mo12 O48'
_symmetry_space_group_name_H-M 'P n m a'
_symmetry_Int_Tables_number 62
_symmetry_space_group_name_Hall '-P 2ac 2n'
_cell_length_a 9.318
_cell_length_b 6.348
_cell_length_c 25.520
_cell_angle_alpha 90.00
_cell_angle_beta 90.00
_cell_angle_gamma 90.00
loop_
_atom_site_label
_atom_site_fract_x
_atom_site_fract_y
_atom_site_fract_z
Cs1 0.024 0.250 0.092
Cs2 0.088 0.250 0.682
Cs3 0.192 0.250 0.257
Pr1 0.183 0.750 0.460
Mo1 0.020 0.750 0.602
Mo2 0.113 0.250 0.825
Mo3 0.242 0.750 0.026
O1 0.020 0.021 0.805
O2 0.069 0.250 0.516
O3 0.086 0.019 0.403
O4 0.094 0.750 0.665
O5 0.141 0.250 0.894
O6 0.162 0.750 0.557
O7 0.168 0.525 0.995
O8 0.204 0.750 0.093
O9 0.223 0.750 0.291